(1)
The following is a PBE calculation of Sc3Pt5 after structural relaxation, from Alexandria.

Results
As for the density: 12.976 g/cm³. The energy above the most stable polymorph in this dataset comes out at 1.827 eV/f.u. The spin magnetization is 0.00 μB/atom. Its energy is -113.2 eV for the cell shown.

abc: 7.859 7.859 5.312
angles: 90.00 90.00 60.00
Positions (direct):
Sc 0.611 0.389 0.750
Sc 0.389 0.611 0.250
Sc 0.389 0.000 0.750
Sc 0.000 0.389 0.250
Sc 0.611 0.000 0.250
Sc 0.000 0.611 0.750
Pt 0.781 0.219 0.250
Pt 0.219 0.781 0.750
Pt 0.219 0.000 0.250
Pt 0.000 0.219 0.750
Pt 0.667 0.667 0.000
Pt 0.667 0.667 0.500
Pt 0.333 0.333 0.000
Pt 0.333 0.333 0.500
Pt 0.781 0.000 0.750
Pt 0.000 0.781 0.250


(2)
The following is a PBE calculation of Pm2Ag3Pb after structural relaxation, from Alexandria.

Results
As for the density: 9.149 g/cm³. The spin magnetization is 0.00 μB/atom. Its energy is -47.2 eV for the cell shown.

abc: 6.060 6.060 9.840
angles: 113.77 113.77 71.99
Positions (direct):
Pm 0.750 0.250 0.500
Pm 0.761 0.239 0.000
Pm 0.250 0.750 0.500
Pm 0.239 0.761 0.000
Ag 0.837 0.837 0.163
Ag 0.673 0.673 0.837
Ag 0.163 0.163 0.837
Ag 0.327 0.327 0.163
Ag 0.165 0.165 0.330
Ag 0.835 0.835 0.670
Pb 0.665 0.665 0.329
Pb 0.335 0.335 0.671


(3)
The following is a PBE calculation of InRh3 after structural relaxation, from Alexandria.

Results
As for the density: 11.139 g/cm³. The spin magnetization is 0.00 μB/atom. Its energy is -24.5 eV for the cell shown.

abc: 2.902 2.902 8.658
angles: 90.00 90.00 120.00
Positions (direct):
In 0.000 0.000 0.000
Rh 0.000 0.000 0.500
Rh 0.667 0.333 0.256
Rh 0.667 0.333 0.744


(4)
The following is a PBE calculation of ZnCN2O after structural relaxation, from Alexandria.

Results
As for the density: 3.425 g/cm³. The spin magnetization is 0.00 μB/atom. Its energy is -26.2 eV for the cell shown. The calculation puts the raw formation energy at 1184 meV/atom.

abc: 2.908 2.908 6.963
angles: 90.00 90.00 90.00
Positions (direct):
Zn 0.500 0.500 0.500
C 0.000 0.000 0.000
O 0.000 0.000 0.500
N 0.000 0.500 0.000
N 0.500 0.000 0.000


(5)
The following is a PBE calculation of Ba2GeHI after structural relaxation, from Alexandria.

Results
As for the density: 5.126 g/cm³. The spin magnetization is 0.00 μB/atom. Its energy is -15.1 eV for the cell shown.

abc: 5.309 5.462 5.309
angles: 90.00 90.00 90.00
Positions (direct):
I 0.000 0.500 0.000
H 0.000 0.000 0.000
Ge 0.500 0.500 0.500
Ba 0.000 0.000 0.500
Ba 0.500 0.000 0.000


(6)
The following is a PBE calculation of Dy3Th4Bi8 after structural relaxation, from Alexandria.

Results
As for the density: 9.744 g/cm³. The spin magnetization is 0.00 μB/atom. Its energy is -83.8 eV for the cell shown.

abc: 9.088 9.051 9.051
angles: 90.18 119.96 119.96
Positions (direct):
Dy 0.500 0.500 0.000
Dy 0.500 0.000 0.500
Dy 0.500 0.500 0.500
Th 0.500 0.000 0.000
Th 0.000 0.500 0.000
Th 0.000 0.000 0.000
Th 0.000 0.000 0.500
Bi 0.515 0.259 0.259
Bi 0.000 0.741 0.259
Bi 0.005 0.263 0.263
Bi 0.500 0.747 0.253
Bi 0.500 0.253 0.747
Bi 0.995 0.737 0.737
Bi 0.000 0.259 0.741
Bi 0.485 0.741 0.741


(7)
The following is a PBE calculation of ZrCuCl2 after structural relaxation, from Alexandria.

Results
As for the density: 4.980 g/cm³. The energy above the most stable polymorph in this dataset comes out at 1.746 eV/f.u. The spin magnetization is 0.00 μB/atom. Its energy is -17.9 eV for the cell shown. The calculation puts the raw formation energy at -401 meV/atom.

abc: 5.539 5.394 3.240
angles: 69.05 96.40 123.16
Positions (direct):
Cu 0.000 0.500 0.500
Zr 0.500 0.500 0.000
Cl 0.000 0.000 0.000
Cl 0.500 0.000 0.500


(8)
The following is a PBE calculation of PaTl2Br4F2 after structural relaxation, from Alexandria.

Results
As for the density: 5.723 g/cm³. The spin magnetization is 0.11 μB/atom. Its energy is -41.1 eV for the cell shown. The calculation puts the raw formation energy at -1823 meV/atom.

abc: 5.816 7.415 7.415
angles: 65.95 83.57 83.57
Site moments in Bohr magnetons follow the coordinates.
Positions (direct):
Pa 0.500 0.000 0.000  1.03
Tl 0.208 0.683 0.683  0.00
Tl 0.792 0.317 0.317  0.00
Br 0.287 0.630 0.144  -0.01
Br 0.713 0.856 0.370  -0.01
Br 0.713 0.370 0.856  -0.01
Br 0.287 0.144 0.630  -0.01
F 0.224 0.127 0.127  -0.01
F 0.776 0.873 0.873  -0.01


(9)
The following is a PBE calculation of Ti2TlSbI after structural relaxation, from Alexandria.

Results
As for the density: 5.513 g/cm³. The spin magnetization is 0.55 μB/atom. Its energy is -17.7 eV for the cell shown. The calculation puts the raw formation energy at 1234 meV/atom.

abc: 5.346 5.783 5.346
angles: 90.00 90.00 90.00
Site moments in Bohr magnetons follow the coordinates.
Positions (direct):
I 0.000 0.500 0.000  -0.03
Sb 0.500 0.500 0.500  -0.15
Tl 0.000 0.000 0.000  -0.03
Ti 0.000 0.000 0.500  1.06
Ti 0.500 0.000 0.000  1.44


(10)
The following is a PBE calculation of CoSBr2 after structural relaxation, from Alexandria.

Results
As for the density: 4.329 g/cm³. The spin magnetization is 0.60 μB/atom. Its energy is -11.6 eV for the cell shown. The calculation puts the raw formation energy at 751 meV/atom.

abc: 11.953 11.953 11.953
angles: 14.73 14.73 14.73
Site moments in Bohr magnetons follow the coordinates.
Positions (direct):
S 0.500 0.500 0.500  0.17
Co 0.000 0.000 0.000  1.93
Br 0.937 0.937 0.937  0.08
Br 0.063 0.063 0.063  0.08


(11)
The following is a PBE calculation of PmClO after structural relaxation, from Alexandria.

Results
As for the density: 5.435 g/cm³. The spin magnetization is 0.00 μB/atom. Its energy is -20.1 eV for the cell shown. The calculation puts the raw formation energy at -2841 meV/atom.

abc: 4.600 3.882 3.882
angles: 120.00 90.00 90.00
Positions (direct):
Cl 0.666 0.667 0.333
O 0.166 0.333 0.667
Pm 0.167 0.000 0.000


(12)
The following is a PBE calculation of Ag2BrO4 after structural relaxation, from Alexandria.

Results
As for the density: 5.546 g/cm³. The spin magnetization is 0.00 μB/atom. Its energy is -26.3 eV for the cell shown. The calculation puts the raw formation energy at 128 meV/atom.

abc: 6.046 6.046 6.081
angles: 135.51 135.51 64.66
Positions (direct):
Ag 0.696 0.193 0.405
Ag 0.193 0.696 0.405
Br 0.960 0.960 0.929
O 0.907 0.329 0.231
O 0.329 0.907 0.230
O 0.162 0.162 0.901
O 0.754 0.754 0.900


(13)
The following is a PBE calculation of YW3Cl after structural relaxation, from Alexandria.

Results
As for the density: 9.119 g/cm³. The energy above the most stable polymorph in this dataset comes out at 10.794 eV/f.u. The spin magnetization is 0.00 μB/atom. Its energy is -30.3 eV for the cell shown. The calculation puts the raw formation energy at 3378 meV/atom.

abc: 4.974 4.974 4.974
angles: 90.00 90.00 90.00
Positions (direct):
Y 0.000 0.000 0.000
W 0.000 0.500 0.000
W 0.000 0.000 0.500
W 0.500 0.000 0.000
Cl 0.500 0.500 0.500


(14)
The following is a PBE calculation of YBeAu3 after structural relaxation, from Alexandria.

Results
As for the density: 11.456 g/cm³. The energy above the most stable polymorph in this dataset comes out at 0.825 eV/f.u. The spin magnetization is 0.00 μB/atom. Its energy is -88.1 eV for the cell shown.

abc: 13.618 8.235 8.235
angles: 96.90 132.35 47.65
Positions (direct):
Y 0.243 0.310 0.454
Y 0.257 0.954 0.810
Y 0.757 0.690 0.546
Y 0.743 0.046 0.190
Be 0.750 0.258 0.758
Be 0.250 0.742 0.242
Be 0.750 0.509 0.009
Be 0.250 0.491 0.991
Au 0.514 0.237 0.496
Au 0.986 0.996 0.737
Au 0.486 0.763 0.504
Au 0.014 0.004 0.263
Au 0.009 0.241 0.025
Au 0.491 0.525 0.741
Au 0.991 0.759 0.975
Au 0.509 0.475 0.259
Au 0.744 0.776 0.923
Au 0.756 0.423 0.276
Au 0.256 0.224 0.077
Au 0.244 0.577 0.724


(15)
The following is a PBE calculation of Er2ZnHg2 after structural relaxation, from Alexandria.

Results
As for the density: 11.179 g/cm³. The spin magnetization is 0.00 μB/atom. Its energy is -25.7 eV for the cell shown.

abc: 4.505 5.919 9.955
angles: 90.05 76.92 67.63
Positions (direct):
Er 0.682 0.293 0.343
Er 0.920 0.259 0.900
Er 0.318 0.707 0.657
Er 0.080 0.741 0.100
Zn 0.612 0.109 0.668
Zn 0.388 0.891 0.332
Hg 0.068 0.286 0.578
Hg 0.658 0.806 0.878
Hg 0.932 0.714 0.422
Hg 0.342 0.194 0.122


(16)
The following is a PBE calculation of NaZnAsF after structural relaxation, from Alexandria.

Results
As for the density: 4.116 g/cm³. The energy above the most stable polymorph in this dataset comes out at 0.107 eV/f.u. The spin magnetization is 0.00 μB/atom. Its energy is -13.9 eV for the cell shown. The calculation puts the raw formation energy at -1200 meV/atom.

abc: 3.132 3.630 6.468
angles: 90.00 90.71 90.00
Positions (direct):
Na 0.274 0.500 0.661
As 0.289 0.500 0.193
Zn 0.785 0.000 0.045
F 0.777 0.000 0.726


(17)
The following is a PBE calculation of Nd2TmGa2 after structural relaxation, from Alexandria.

Results
As for the density: 7.365 g/cm³. The energy above the most stable polymorph in this dataset comes out at 0.000 eV/f.u. The spin magnetization is 0.00 μB/atom. Its energy is -45.3 eV for the cell shown.

abc: 4.523 7.714 7.714
angles: 90.00 90.00 90.00
Positions (direct):
Nd 0.500 0.174 0.674
Nd 0.500 0.674 0.826
Nd 0.500 0.826 0.326
Nd 0.500 0.326 0.174
Tm 0.000 0.000 0.000
Tm 0.000 0.500 0.500
Ga 0.000 0.380 0.880
Ga 0.000 0.880 0.620
Ga 0.000 0.620 0.120
Ga 0.000 0.120 0.380


(18)
The following is a PBE calculation of Ti2Nb6Sn after structural relaxation, from Alexandria.

Results
As for the density: 7.270 g/cm³. The energy above the most stable polymorph in this dataset comes out at 4.176 eV/f.u. The spin magnetization is 0.00 μB/atom. Its energy is -76.7 eV for the cell shown.

abc: 4.571 4.571 8.439
angles: 90.00 90.00 90.00
Positions (direct):
Ti 0.500 0.500 0.135
Ti 0.500 0.500 0.865
Nb 0.000 0.500 0.305
Nb 0.500 0.000 0.305
Nb 0.000 0.500 0.695
Nb 0.500 0.000 0.695
Nb 0.500 0.500 0.500
Nb 0.000 0.000 0.500
Sn 0.000 0.000 0.000


(19)
The following is a PBE calculation of Ta3Cu after structural relaxation, from Alexandria.

Results
As for the density: 14.888 g/cm³. The spin magnetization is 0.00 μB/atom. Its energy is -156.2 eV for the cell shown.

abc: 5.755 5.755 9.431
angles: 90.00 90.00 60.00
Positions (direct):
Cu 0.000 0.000 0.000
Cu 0.000 0.000 0.500
Cu 0.667 0.667 0.250
Cu 0.333 0.333 0.750
Ta 0.500 0.000 0.000
Ta 0.500 0.000 0.500
Ta 0.500 0.500 0.000
Ta 0.000 0.500 0.000
Ta 0.000 0.500 0.500
Ta 0.500 0.500 0.500
Ta 0.164 0.672 0.250
Ta 0.836 0.328 0.750
Ta 0.164 0.164 0.250
Ta 0.672 0.164 0.250
Ta 0.328 0.836 0.750
Ta 0.836 0.836 0.750


(20)
The following is a PBE calculation of MgSbSe after structural relaxation, from Alexandria.

Results
As for the density: 5.047 g/cm³. The spin magnetization is 0.00 μB/atom. Its energy is -10.3 eV for the cell shown. The calculation puts the raw formation energy at -366 meV/atom.

abc: 6.160 6.159 3.637
angles: 72.83 72.82 34.34
Positions (direct):
Mg 0.031 0.031 0.969
Sb 0.358 0.358 0.642
Se 0.611 0.611 0.389


(21)
The following is a PBE calculation of Y2FeCo after structural relaxation, from Alexandria.

Results
As for the density: 5.878 g/cm³. The energy above the most stable polymorph in this dataset comes out at 0.111 eV/f.u. The spin magnetization is 0.38 μB/atom. Its energy is -28.9 eV for the cell shown.

abc: 3.856 4.192 5.525
angles: 67.74 90.00 90.00
Site moments in Bohr magnetons follow the coordinates.
Positions (direct):
Y 0.000 0.979 0.917  -0.20
Y 0.500 0.270 0.335  -0.18
Co 0.000 0.680 0.514  0.61
Fe 0.500 0.571 0.734  1.60


(22)
The following is a PBE calculation of LaPm12Sm6 after structural relaxation, from Alexandria.

Results
As for the density: 6.669 g/cm³. The energy above the most stable polymorph in this dataset comes out at 4.948 eV/f.u. The spin magnetization is 0.00 μB/atom. Its energy is -82.8 eV for the cell shown.

abc: 9.605 9.605 9.605
angles: 109.06 109.06 109.06
Positions (direct):
La 0.000 0.000 0.000
Pm 0.893 0.107 0.500
Pm 0.385 0.180 0.385
Pm 0.385 0.385 0.180
Pm 0.820 0.615 0.615
Pm 0.615 0.615 0.820
Pm 0.615 0.820 0.615
Pm 0.500 0.893 0.107
Pm 0.107 0.500 0.893
Pm 0.107 0.893 0.500
Pm 0.500 0.107 0.893
Pm 0.893 0.500 0.107
Pm 0.180 0.385 0.385
Sm 0.673 0.224 0.673
Sm 0.673 0.673 0.224
Sm 0.224 0.673 0.673
Sm 0.327 0.327 0.776
Sm 0.327 0.776 0.327
Sm 0.776 0.327 0.327


(23)
The following is a PBE calculation of MgReRu2 after structural relaxation, from Alexandria.

Results
As for the density: 11.377 g/cm³. The spin magnetization is 0.00 μB/atom. Its energy is -31.8 eV for the cell shown.

abc: 4.690 4.690 4.933
angles: 80.96 80.96 34.25
Positions (direct):
Mg 0.750 0.750 0.750
Re 0.250 0.250 0.250
Ru 0.990 0.990 0.022
Ru 0.510 0.510 0.478


(24)
The following is a PBE calculation of CdIn2HgTe4 after structural relaxation, from Alexandria.

Results
As for the density: 5.490 g/cm³. The spin magnetization is 0.00 μB/atom. Its energy is -20.9 eV for the cell shown. The calculation puts the raw formation energy at -211 meV/atom.

abc: 6.922 6.922 8.252
angles: 114.74 114.74 90.13
Positions (direct):
Cd 0.501 0.501 0.002
In 0.750 0.250 0.501
In 0.250 0.750 0.501
Hg 0.999 0.999 0.999
Te 0.623 0.623 0.753
Te 0.376 0.871 0.247
Te 0.871 0.376 0.247
Te 0.130 0.130 0.753